A relaxed K2Ga2Ag crystal. Source: Alexandria, functional PBE-GGA.

Symmetry: P4/mbm, No. 127
Formation energy (meV per atom): 27
Fermi-level density of states (states/eV per cell): 4.6
Offset from the most stable computed form (eV/f.u.): 0.380

a = 7.0391 Å, b = 7.0391 Å, c = 5.7937 Å
α = 90.00°, β = 90.00°, γ = 90.00°
Last column: nearest neighbours and their distance in Å.
Fractional coordinates of all 10 atoms:
K 0.1867 0.3133 0.0000  6 Ga 3.44-3.66, 5 K 3.63-3.72
K 0.3133 0.8133 0.0000  6 Ga 3.44-3.66, 5 K 3.63-3.72
K 0.6867 0.1867 0.0000  6 Ga 3.44-3.66, 5 K 3.63-3.72
K 0.8133 0.6867 0.0000  6 Ga 3.44-3.66, 5 K 3.63-3.72
Ga 0.1265 0.6265 0.5000  1 Ga 2.52, 2 Ag 2.78
Ga 0.3735 0.1265 0.5000  1 Ga 2.52, 2 Ag 2.78
Ga 0.6265 0.8735 0.5000  1 Ga 2.52, 2 Ag 2.78
Ga 0.8735 0.3735 0.5000  1 Ga 2.52, 2 Ag 2.78
Ag 0.0000 0.0000 0.5000  4 Ga 2.78
Ag 0.5000 0.5000 0.5000  4 Ga 2.78